# 1
14
Lattice="5.601 -4.261 0.000 5.601 4.261 0.000 -3.611 0.000 8.522" Properties=species:S:1:pos:R:3 comment="HoCdCl5 GGA-PBE relaxed" dft_energy_ry_per_atom=-0.27801 e_form_raw_kj_per_mol_fu=-1134 spacegroup="C2/c (15)" dos_ef_per_ev_cell=0.000 pbc="T T T"
Ho 2.893 3.842 6.391
Ho 4.698 -3.842 2.130
Cd 5.601 0.000 0.000
Cd 3.796 0.000 4.261
Cl 5.263 2.733 0.344
Cl 4.134 2.733 3.917
Cl 1.490 0.401 3.067
Cl -0.315 -0.401 7.328
Cl 2.893 1.096 6.391
Cl 4.698 -1.096 2.130
Cl 7.907 0.401 1.194
Cl 6.102 -0.401 5.454
Cl 3.458 -2.733 4.605
Cl 2.329 -2.733 8.178

# 2
6
Lattice="15.693 0.000 0.000 0.000 1.802 3.120 0.000 -1.802 3.120" Properties=species:S:1:pos:R:3 comment="HoCdCl GGA-PBE relaxed" dft_energy_ry_per_atom=-0.24640 e_form_raw_kj_per_mol_fu=-262 spacegroup="Amm2 (38)" dos_ef_per_ev_cell=3.143 pbc="T T T"
Ho 2.431 0.000 0.000
Ho 13.262 0.000 0.000
Cd 0.000 0.000 2.081
Cd 7.847 0.000 0.097
Cl 4.244 0.000 2.082
Cl 11.449 0.000 2.082

# 3
18
Lattice="6.927 0.000 0.000 -3.464 5.999 0.000 0.000 0.000 13.940" Properties=species:S:1:pos:R:3 comment="HoCdInCl6 GGA-PBE relaxed" dft_energy_ry_per_atom=-0.27329 e_form_raw_kj_per_mol_fu=-1366 spacegroup="P-31c (163)" dos_ef_per_ev_cell=0.000 pbc="T T T"
Ho 0.000 3.999 3.485
Ho 3.464 2.000 10.455
Cd 0.000 3.999 10.455
Cd 3.464 2.000 3.485
In 0.000 0.000 0.000
In 0.000 0.000 6.970
Cl -1.270 2.236 1.972
Cl -2.162 3.781 4.998
Cl 1.270 2.236 4.998
Cl -0.892 5.981 1.972
Cl 2.572 0.018 8.942
Cl 1.301 2.218 11.968
Cl 2.162 3.781 1.972
Cl 0.892 5.981 4.998
Cl 4.356 0.018 11.968
Cl 2.193 3.763 8.942
Cl 5.626 2.218 8.942
Cl 4.734 3.763 11.968

# 4
12
Lattice="6.202 0.000 0.000 0.000 8.090 0.000 -0.006 0.000 6.436" Properties=species:S:1:pos:R:3 comment="NaHoCd2Cl8 GGA-PBE relaxed" dft_energy_ry_per_atom=-0.25392 e_form_raw_kj_per_mol_fu=-1829 spacegroup="P2/m (10)" dos_ef_per_ev_cell=0.000 pbc="T T T"
Na 0.000 0.000 0.000
Ho 0.000 4.045 0.000
Cd 3.098 1.952 3.218
Cd 3.098 6.137 3.218
Cl 1.405 2.143 1.125
Cl 1.405 5.947 1.125
Cl 1.705 4.045 4.336
Cl 1.734 0.000 4.275
Cl 4.462 0.000 2.160
Cl 4.491 4.045 2.099
Cl 4.791 2.143 5.310
Cl 4.791 5.947 5.310

# 5
18
Lattice="6.800 0.000 0.000 -3.400 5.889 0.000 0.000 0.000 12.602" Properties=species:S:1:pos:R:3 comment="NaHoCdCl6 GGA-PBE relaxed" dft_energy_ry_per_atom=-0.27693 e_form_raw_kj_per_mol_fu=-1546 spacegroup="P-31c (163)" dos_ef_per_ev_cell=0.000 pbc="T T T"
Na 0.000 0.000 0.000
Na 0.000 0.000 6.301
Ho 0.000 3.926 3.151
Ho 3.400 1.963 9.452
Cd 0.000 3.926 9.452
Cd 3.400 1.963 3.151
Cl -1.187 2.095 1.656
Cl -2.180 3.814 4.645
Cl 1.187 2.095 4.645
Cl -0.993 5.870 1.656
Cl 2.408 0.019 7.958
Cl 1.220 2.075 10.946
Cl 2.180 3.814 1.656
Cl 0.993 5.870 4.645
Cl 4.393 0.019 10.946
Cl 2.213 3.794 7.958
Cl 5.580 2.075 7.958
Cl 4.587 3.794 10.946

# 6
20
Lattice="7.637 0.000 0.000 0.000 11.071 0.000 0.000 0.000 8.142" Properties=species:S:1:pos:R:3 comment="Rb2HoCdCl6 GGA-PBE relaxed" dft_energy_ry_per_atom=-0.26629 e_form_raw_kj_per_mol_fu=-1710 spacegroup="Pmmn (59)" dos_ef_per_ev_cell=4.748 pbc="T T T"
Rb 1.909 0.298 1.674
Rb 1.909 5.237 1.674
Rb 5.727 5.834 6.468
Rb 5.727 10.773 6.468
Ho 1.909 8.303 6.300
Ho 5.727 2.768 1.841
Cd 1.909 2.768 5.864
Cd 5.727 8.303 2.278
Cl 0.020 2.768 3.606
Cl 0.073 8.303 0.066
Cl 1.909 5.674 6.388
Cl 1.909 10.932 6.388
Cl 3.745 8.303 0.066
Cl 3.798 2.768 3.606
Cl 3.839 8.303 4.536
Cl 3.892 2.768 8.076
Cl 5.727 0.139 1.753
Cl 5.727 5.397 1.753
Cl 7.563 2.768 8.076
Cl 7.616 8.303 4.536